[1]
Er2Cu2Pt: relaxed, PBE.

Summary:
The calculated density is 11.0 g/cm3. Its crystal system is monoclinic. The volume is 19.8 Å³ per atom. The energy of formation from the pure elements comes out at -0.6318 eV per atom. As for the relative energy among the computed polymorphs: 0 meV per atom.

Cell: 10.0958 3.9526 10.7525 Å, 90.00 112.51 90.00°
Space group C2/m (No. 12)
Unique sites:
Er: 0.0077 0.0000 0.3374 x4
Er: 0.1903 0.0000 0.1170 x4
Cu: 0.0296 0.5000 0.8952 x4
Cu: 0.1378 0.5000 0.5467 x4
Pt: 0.2094 0.5000 0.3189 x4

***

[2]
ErCuPt6: relaxed, PBE.

Summary:
The calculated density is 18.1 g/cm3. Its crystal system is tetragonal. The volume is 16.1 Å³ per atom. The energy of formation from the pure elements comes out at -0.5640 eV per atom.

Cell: 4.0200 4.0200 7.9754 Å, 90.00 90.00 90.00°
Space group P4/mmm (No. 123)
Unique sites:
Er: 0.0000 0.0000 0.0000 x1
Cu: 0.0000 0.0000 0.5000 x1
Pt: 0.0000 0.5000 0.2644 x4
Pt: 0.5000 0.5000 0.0000 x1
Pt: 0.5000 0.5000 0.5000 x1

***

[3]
ErCuPt2: relaxed, PBE.

Summary:
The calculated density is 14.1 g/cm3. Its crystal system is trigonal. The volume is 18.3 Å³ per atom. The energy of formation from the pure elements comes out at -0.7578 eV per atom.

Cell: 4.3839 4.3839 13.2004 Å, 90.00 90.00 120.00°
Space group R-3m (No. 166, hexagonal axes)
Unique sites:
Er: 0.0000 0.0000 0.0000 x3
Cu: 0.0000 0.0000 0.5000 x3
Pt: 0.0000 0.0000 0.2159 x6

***

[4]
Er3CuPt2: relaxed, PBE.

Summary:
The calculated density is 12.0 g/cm3. Its crystal system is orthorhombic. The volume is 22.1 Å³ per atom. The energy of formation from the pure elements comes out at -0.9557 eV per atom.

Cell: 11.5011 4.0375 11.3982 Å, 90.00 90.00 90.00°
Space group Pnma (No. 62)
Unique sites:
Er: 0.0457 0.2500 0.1269 x4
Er: 0.1277 0.7500 0.5676 x4
Er: 0.2129 0.2500 0.8167 x4
Cu: 0.1229 0.2500 0.3788 x4
Pt: 0.0010 0.7500 0.3086 x4
Pt: 0.1820 0.7500 0.9993 x4

***

Look up the energy of formation from the pure elements of the first one.
-0.6318 eV per atom